# 1
A relaxed SrErMg crystal, computed with PBE-GGA.

```
12
Lattice="7.810 0.000 0.000 0.000 7.810 0.000 0.000 0.000 7.810" Properties=species:S:1:pos:R:3 pbc="T T T"
Sr 0.000 0.000 0.000
Sr 0.000 3.905 3.905
Sr 3.905 0.000 3.905
Sr 3.905 3.905 0.000
Er 0.000 0.000 3.905
Er 0.000 3.905 0.000
Er 3.905 0.000 0.000
Er 3.905 3.905 3.905
Mg 1.953 1.953 5.858
Mg 1.953 5.858 1.953
Mg 5.858 1.953 1.953
Mg 5.858 5.858 5.858
```

Its crystal system is cubic. The calculation puts the volume at 476 Å³/cell. As for the space-group type: F-43m. As for the total moment: 0.0 μB per formula unit. As for the density: 3.892 Mg/m³. For the energy above the lowest structure with this stoichiometry, the calculation gives 0.0 meV/atom. The value obtained for the final energy is -2.1727 eV/atom.


# 2
A relaxed ThZr2 crystal, computed with PBE-GGA.

```
12
Lattice="9.940 0.000 0.000 0.000 5.745 0.000 0.000 0.000 5.488" Properties=species:S:1:pos:R:3 pbc="T T T"
Th 0.000 1.055 1.372
Th 0.000 4.690 4.116
Th 4.970 1.817 4.116
Th 4.970 3.928 1.372
Zr 1.766 1.998 4.116
Zr 1.766 3.747 1.372
Zr 3.204 0.875 1.372
Zr 3.204 4.870 4.116
Zr 6.735 0.875 1.372
Zr 6.735 4.870 4.116
Zr 8.174 1.998 4.116
Zr 8.174 3.747 1.372
```

Its crystal system is orthorhombic. The calculation puts the volume at 313 Å³/cell. As for the space-group type: Cmcm. As for the total moment: 0.0 μB per formula unit. As for the density: 8.785 Mg/m³. The value obtained for the final energy is -8.1077 eV/atom.


# 3
A relaxed PmSiIr crystal, computed with PBE-GGA.

```
12
Lattice="5.968 0.000 0.000 0.000 5.760 0.000 -3.221 0.000 7.038" Properties=species:S:1:pos:R:3 pbc="T T T"
Pm -0.025 0.781 2.678
Pm -1.636 2.099 6.196
Pm 4.383 3.662 0.841
Pm 2.773 4.979 4.360
Si -0.298 3.655 3.849
Si 1.313 4.985 0.330
Si 1.435 0.775 6.707
Si 3.045 2.105 3.189
Ir 1.314 3.439 2.103
Ir -0.296 5.202 5.621
Ir 3.044 0.559 1.416
Ir 1.433 2.322 4.935
```

Its crystal system is monoclinic. The calculation puts the volume at 242 Å³/cell. As for the space-group type: P2_1/c. As for the total moment: 0.0 μB per formula unit. As for the density: 10.029 Mg/m³. For the energy above the lowest structure with this stoichiometry, the calculation gives 0.0 meV/atom. The value obtained for the final energy is -7.2996 eV/atom.


# 4
A relaxed Li2Zr2TlGaPt2 crystal, computed with PBE-GGA.

```
8
Lattice="4.566 0.000 0.000 0.000 4.566 0.000 0.000 0.000 6.490" Properties=species:S:1:pos:R:3 pbc="T T T"
Li 0.000 2.283 1.542
Li 2.283 0.000 4.948
Zr 0.000 0.000 0.000
Zr 2.283 2.283 3.245
Tl 0.000 0.000 3.245
Ga 2.283 2.283 0.000
Pt 0.000 2.283 4.976
Pt 2.283 0.000 1.514
```

Its crystal system is tetragonal. The calculation puts the volume at 135 Å³/cell. As for the space-group type: P-4m2. As for the total moment: 0.0 μB per formula unit. As for the density: 10.561 Mg/m³. The value obtained for the final energy is -5.4992 eV/atom.


What is the formula in the fourth record? Li2Zr2TlGaPt2